Record 1
Computed, not measured: a relaxed Al3CuAu4 crystal at the PBE-GGA level of DFT.

Values from the calculation:
Space-group type: C2/m, No. 12
DFT formation energy: -26 kJ per mole of atoms

```
Al3CuAu4
1.0
6.824 -2.233 0.000
6.824 2.233 0.000
-1.449 0.000 4.224
Al Cu Au
3 1 4
direct
0.000 0.000 0.000
0.254 0.254 0.254
0.746 0.746 0.746
0.500 0.500 0.500
0.126 0.126 0.626
0.374 0.374 0.874
0.626 0.626 0.126
0.874 0.874 0.374
```

***

Record 2
Computed, not measured: a relaxed GeSeN crystal at the PBE-GGA level of DFT.

Values from the calculation:
Distance to the lowest polymorph of the same formula: 0.000 eV per formula unit
Formation energy without anion corrections: -0.13 eV per atom
Space-group type: C2/m, No. 12

```
GeSeN
1.0
2.866 -2.865 0.000
2.866 2.865 0.000
-1.600 0.000 10.495
Ge Se N
2 2 2
direct
0.220 0.220 0.389
0.780 0.780 0.611
0.286 0.286 0.629
0.714 0.714 0.371
0.082 0.082 0.036
0.918 0.918 0.964
```

***

Record 3
Computed, not measured: a relaxed Rb2Na5Sn crystal at the PBE-GGA level of DFT.

Values from the calculation:
Space-group type: Cm, No. 8
DFT formation energy: -2 kJ per mole of atoms

```
Rb2Na5Sn
1.0
6.211 -3.643 0.000
6.211 3.643 0.000
-4.081 0.000 7.848
Rb Na Sn
2 5 1
direct
0.000 0.000 0.000
0.578 0.578 0.820
0.003 0.003 0.569
0.130 0.574 0.218
0.476 0.985 0.531
0.574 0.130 0.218
0.985 0.476 0.531
0.274 0.274 0.867
```

***

Record 4
Computed, not measured: a relaxed La4CePr2 crystal at the PBE-GGA level of DFT.

Values from the calculation:
Space-group type: P1, No. 1
DFT formation energy: 9 kJ per mole of atoms

```
La4CePr2
1.0
6.627 0.000 0.000
1.019 8.852 0.000
2.984 -0.216 8.507
La Ce Pr
8 2 4
direct
0.000 0.000 0.000
0.033 0.050 0.533
0.148 0.264 0.211
0.212 0.343 0.731
0.264 0.602 0.975
0.385 0.801 0.637
0.720 0.407 0.046
0.838 0.711 0.774
0.442 0.881 0.164
0.746 0.431 0.595
0.334 0.546 0.391
0.558 0.096 0.841
0.589 0.140 0.381
0.870 0.740 0.326
```

***

Record 5
Computed, not measured: a relaxed Ta2TlCd crystal at the PBE-GGA level of DFT.

Values from the calculation:
Space-group type: Fm-3m, No. 225
DFT formation energy: 75 kJ per mole of atoms

```
Ta2TlCd
1.0
0.000 3.400 3.400
3.400 0.000 3.400
3.400 3.400 0.000
Ta Tl Cd
2 1 1
direct
0.250 0.250 0.250
0.750 0.750 0.750
0.000 0.000 0.000
0.500 0.500 0.500
```

***

Record 6
Computed, not measured: a relaxed TiFeB3 crystal at the PBE-GGA level of DFT.

Values from the calculation:
Space-group type: Pm-3m, No. 221
DFT formation energy: 33 kJ per mole of atoms

```
TiFeB3
1.0
3.688 0.000 0.000
0.000 3.688 0.000
0.000 0.000 3.688
Ti Fe B
1 1 3
direct
0.000 0.000 0.000
0.500 0.500 0.500
0.000 0.500 0.500
0.500 0.000 0.500
0.500 0.500 0.000
```

***

Record 7
Computed, not measured: a relaxed Li2CuW crystal at the PBE-GGA level of DFT.

Values from the calculation:
Distance to the lowest polymorph of the same formula: 2.733 eV per formula unit
Space-group type: I-42d, No. 122
DFT formation energy: 91 kJ per mole of atoms

```
Li2CuW
1.0
-3.337 3.337 2.495
3.337 -3.337 2.495
3.337 3.337 -2.495
Li Cu W
4 2 2
direct
0.093 0.125 0.468
0.375 0.907 0.032
0.657 0.625 0.532
0.875 0.343 0.968
0.000 0.000 0.000
0.750 0.250 0.500
0.250 0.750 0.500
0.500 0.500 0.000
```

***

Record 8
Computed, not measured: a relaxed Ti8NbCo2 crystal at the PBE-GGA level of DFT.

Values from the calculation:
Space-group type: C2/m, No. 12
DFT formation energy: -2 kJ per mole of atoms

```
Ti8NbCo2
1.0
6.019 -2.810 0.000
6.019 2.810 0.000
-0.614 0.000 5.305
Ti Nb Co
8 1 2
direct
0.087 0.087 0.404
0.126 0.649 0.090
0.298 0.298 0.660
0.351 0.874 0.910
0.649 0.126 0.090
0.702 0.702 0.340
0.874 0.351 0.910
0.913 0.913 0.596
0.500 0.500 0.500
0.247 0.247 0.214
0.753 0.753 0.786
```

***

Record 9
Computed, not measured: a relaxed HfGaRu crystal at the PBE-GGA level of DFT.

Values from the calculation:
Space-group type: I4mm, No. 107
DFT formation energy: -48 kJ per mole of atoms

```
HfGaRu
1.0
-1.583 1.583 4.967
1.583 -1.583 4.967
1.583 1.583 -4.967
Hf Ga Ru
1 1 1
direct
0.000 0.000 0.000
0.695 0.695 0.000
0.333 0.333 0.000
```

***

Record 10
Computed, not measured: a relaxed LiCaY crystal at the PBE-GGA level of DFT.

Values from the calculation:
Distance to the lowest polymorph of the same formula: 1.228 eV per formula unit
Space-group type: F-43m, No. 216
DFT formation energy: 43 kJ per mole of atoms

```
LiCaY
1.0
0.000 3.720 3.720
3.720 0.000 3.720
3.720 3.720 0.000
Li Ca Y
1 1 1
direct
0.000 0.000 0.000
0.750 0.750 0.750
0.250 0.250 0.250
```

***

Record 11
Computed, not measured: a relaxed LaZn2AuBr crystal at the PBE-GGA level of DFT.

Values from the calculation:
Formation energy without anion corrections: 0.38 eV per atom
Space-group type: P4/mmm, No. 123

```
LaZn2AuBr
1.0
6.141 0.000 0.000
0.000 6.141 0.000
0.000 0.000 5.586
La Zn Au Br
1 2 1 1
direct
0.000 0.000 0.000
0.000 0.500 0.000
0.500 0.000 0.000
0.000 0.000 0.500
0.500 0.500 0.500
```

***

Record 12
Computed, not measured: a relaxed SrCuSBr2 crystal at the PBE-GGA level of DFT.

Values from the calculation:
Formation energy without anion corrections: 0.08 eV per atom
Space-group type: P4/mmm, No. 123

```
SrCuSBr2
1.0
5.683 0.000 0.000
0.000 5.683 0.000
0.000 0.000 8.834
Sr Cu S Br
1 1 1 2
direct
0.000 0.000 0.000
0.000 0.000 0.500
0.500 0.500 0.500
0.000 0.500 0.000
0.500 0.000 0.000
```

***

Record 13
Computed, not measured: a relaxed Pr2Y3Ag3 crystal at the PBE-GGA level of DFT.

Values from the calculation:
Space-group type: Immm, No. 71
DFT formation energy: -19 kJ per mole of atoms

```
Pr2Y3Ag3
1.0
-1.868 2.648 11.023
1.868 -2.648 11.023
1.868 2.648 -11.023
Pr Y Ag
2 3 3
direct
0.229 0.229 0.000
0.771 0.771 0.000
0.000 0.000 0.000
0.383 0.883 0.500
0.617 0.117 0.500
0.111 0.611 0.500
0.500 0.500 0.000
0.889 0.389 0.500
```